VASP calculation (PBE) on a geometry-optimized HgBiCl3 structure.

Values from the calculation:
- energy relative to the elements, uncorrected (kJ/mol of formula units) = -366
- energy above the lowest structure with this stoichiometry (meV per atom) = 3

Unit cell a=8.6096 b=6.9991 c=7.0565 alpha=101.19 beta=119.64 gamma=79.80
Atoms (fractional coordinates):
Hg1 0.4553 0.9401 0.1422
Hg2 0.2753 0.1084 0.7397
Cl1 0.1349 0.3960 0.1844
Cl2 0.9083 0.9354 0.1487
Cl3 0.6423 0.4745 0.0194
Cl4 0.7586 0.2581 0.5742
Cl5 0.0248 0.6470 0.6520
Cl6 0.5227 0.7808 0.5667
Bi1 0.9683 0.3015 0.3790
Bi2 0.8133 0.6007 0.8420